1.
Re2SiBr | PBE-GGA | optimized geometry

The space group is Pmmm (No. 47) and the conventional cell measures 2.8418, 4.3519 and 5.1749 Å, with angles of 90.00, 90.00 and 90.00 degrees. The distinct sites, in fractional coordinates, are Re at (0.0000, 0.0000, 0.0000), Re at (0.5000, 0.0000, 0.5000), Si at (0.0000, 0.5000, 0.5000) and Br at (0.5000, 0.5000, 0.0000).

The energy above the most stable polymorph in this dataset is 775 meV per atom. As for the raw formation energy: 1.06 eV/atom. Its total energy is -0.510 Ry per atom. Its density of states at the Fermi level is 3.4 states/eV/cell.


2.
BaZnRh2 | PBE-GGA | optimized geometry

The space group is P2/m (No. 10) and the conventional cell measures 3.1128, 4.2091 and 6.4297 Å, with angles of 90.00, 99.29 and 90.00 degrees. The distinct sites, in fractional coordinates, are Ba at (0.0000, 0.0000, 0.0000), Zn at (0.5000, 0.0000, 0.5000) and Rh at (0.2820, 0.5000, 0.6760).

Its total energy is -0.323 Ry per atom. Its density of states at the Fermi level is 2.7 states/eV/cell.


3.
CaMgS2 | PBE-GGA | optimized geometry

The space group is R-3m (No. 166, hexagonal axes) and the conventional cell measures 3.8730, 3.8730 and 18.9438 Å, with angles of 90.00, 90.00 and 120.00 degrees. The distinct sites, in fractional coordinates, are Ca at (0.0000, 0.0000, 0.0000), Mg at (0.0000, 0.0000, 0.5000) and S at (0.0000, 0.0000, 0.2430).

As for the raw formation energy: -1.77 eV/atom. Its total energy is -0.348 Ry per atom. Its density of states at the Fermi level is 0.0 states/eV/cell.


Please write out number 1 again, unchanged.
Re2SiBr | PBE-GGA | optimized geometry

The space group is Pmmm (No. 47) and the conventional cell measures 2.8418, 4.3519 and 5.1749 Å, with angles of 90.00, 90.00 and 90.00 degrees. The distinct sites, in fractional coordinates, are Re at (0.0000, 0.0000, 0.0000), Re at (0.5000, 0.0000, 0.5000), Si at (0.0000, 0.5000, 0.5000) and Br at (0.5000, 0.5000, 0.0000).

The energy above the most stable polymorph in this dataset is 775 meV per atom. As for the raw formation energy: 1.06 eV/atom. Its total energy is -0.510 Ry per atom. Its density of states at the Fermi level is 3.4 states/eV/cell.


The highest total energy belongs to which entry?
BaZnRh2


Which of these has the lowest total energy?
Re2SiBr


The highest total energy belongs to which entry?
BaZnRh2